# Rb4Nd3CoO8 PBE+U optimized geometry
# V (Å³/atom): 18.279
# E_tot (Ry per atom): -0.4424
data_Rb4Nd3CoO8
_chemical_formula_sum 'Rb4 Nd3 Co1 O8'
_cell_length_a 7.095
_cell_length_b 7.099
_cell_length_c 7.762
_cell_angle_alpha 63.00
_cell_angle_beta 63.04
_cell_angle_gamma 61.81
_space_group_name_H-M_alt 'P -1'
_space_group_IT_number 2
loop_
_space_group_symop_operation_xyz
'x,y,z'
'-x,-y,-z'
loop_
_atom_site_label
_atom_site_fract_x
_atom_site_fract_y
_atom_site_fract_z
_atom_site_occupancy
Rb1 0.000 0.000 0.000 1
Rb2 0.000 0.500 0.000 1
Rb3 0.500 0.000 0.000 1
Rb4 0.500 0.500 0.000 1
Nd1 0.000 0.000 0.500 1
Nd2 0.000 0.500 0.500 1
Nd3 0.500 0.000 0.500 1
Co1 0.500 0.500 0.500 1
O1 0.221 0.737 0.307 1
O2 0.231 0.231 0.318 1
O3 0.262 0.780 0.693 1
O4 0.315 0.315 0.650 1